Entry from the Open Quantum Materials Database: HfMgFeSi after structural relaxation (GGA-PBE).

Output
* magnetization: 0.0008 μB per atom
* E above lowest polymorph: 0.00 eV per formula unit

a = 4.356 Å, b = 4.356 Å, c = 4.356 Å
α = 60.00°, β = 60.00°, γ = 60.00°
Atoms (fractional coordinates):
Fe 0.250 0.250 0.250
Hf 0.500 0.500 0.500
Mg 0.750 0.750 0.750
Si 0.000 0.000 0.000

Entry from the Open Quantum Materials Database: HfZr2Ta after structural relaxation (GGA-PBE).

Output
* magnetization: 0.0162 μB per atom
* energy of formation from the pure elements: 0.16 eV per atom

a = 4.932 Å, b = 4.932 Å, c = 4.932 Å
α = 60.00°, β = 60.00°, γ = 60.00°
Atoms (fractional coordinates):
Zr 0.750 0.750 0.750
Zr 0.000 0.000 0.000
Ta 0.500 0.500 0.500
Hf 0.250 0.250 0.250

Entry from the Open Quantum Materials Database: NbPtNO after structural relaxation (GGA-PBE).

Output
* magnetization: 0.0003 μB per atom
* E above lowest polymorph: 1.05 eV per formula unit

a = 5.352 Å, b = 7.042 Å, c = 5.664 Å
α = 90.00°, β = 90.00°, γ = 90.00°
Atoms (fractional coordinates):
O 0.319 0.418 0.501
O 0.181 0.418 0.001
Nb 0.549 0.832 0.993
Nb 0.049 0.168 0.993
O 0.819 0.582 0.501
Pt 0.899 0.306 0.547
Nb 0.451 0.168 0.493
Pt 0.601 0.306 0.047
O 0.681 0.582 0.001
Pt 0.101 0.694 0.047
Pt 0.399 0.694 0.547
N 0.898 0.923 0.161
N 0.102 0.077 0.661
N 0.398 0.077 0.161
N 0.602 0.923 0.661
Nb 0.951 0.832 0.493

Question: The lowest magnetization belongs to which entry?
Answer: NbPtNO

Question: Which formula does entry 3 have?
Answer: NbPtNO

Question: The highest magnetization belongs to which entry?
Answer: HfZr2Ta

Question: Which of these has the lowest magnetization?
Answer: NbPtNO